Record 1
# LaAl2Cl, optimized geometry, DFT PBE
data_LaAl2Cl
_symmetry_space_group_name_H-M 'P 4/m m m'
_symmetry_Int_Tables_number 123
_symmetry_space_group_name_Hall '-P 4 2'
_cell_length_a 4.668
_cell_length_b 4.668
_cell_length_c 5.416
_cell_angle_alpha 90.00
_cell_angle_beta 90.00
_cell_angle_gamma 90.00
loop_
_atom_site_label
_atom_site_type_symbol
_atom_site_fract_x
_atom_site_fract_y
_atom_site_fract_z
_atom_site_occupancy
La1 La 0.000 0.000 0.000 1
Al1 Al 0.500 0.500 0.230 1
Cl1 Cl 0.000 0.000 0.500 1
# Energy relative to the elements, uncorrected in kcal/mol of atoms: -7.8
# Energy above the most stable polymorph in this dataset in meV per atom: 353

=====

Record 2
# Mo2PdRuN, optimized geometry, DFT PBE
data_Mo2PdRuN
_symmetry_space_group_name_H-M 'P 4/m m m'
_symmetry_Int_Tables_number 123
_symmetry_space_group_name_Hall '-P 4 2'
_cell_length_a 4.093
_cell_length_b 4.093
_cell_length_c 4.059
_cell_angle_alpha 90.00
_cell_angle_beta 90.00
_cell_angle_gamma 90.00
loop_
_atom_site_label
_atom_site_type_symbol
_atom_site_fract_x
_atom_site_fract_y
_atom_site_fract_z
_atom_site_occupancy
Mo1 Mo 0.000 0.500 0.000 1
Pd1 Pd 0.000 0.000 0.500 1
Ru1 Ru 0.500 0.500 0.500 1
N1 N 0.500 0.500 0.000 1
# Energy relative to the elements, uncorrected in kcal/mol of atoms: -0.9

=====

Record 3
# YCdAg2, optimized geometry, DFT PBE
data_YCdAg2
_symmetry_space_group_name_H-M 'P m m m'
_symmetry_Int_Tables_number 47
_cell_length_a 3.551
_cell_length_b 3.635
_cell_length_c 6.788
_cell_angle_alpha 90.00
_cell_angle_beta 90.00
_cell_angle_gamma 90.00
loop_
_symmetry_equiv_pos_as_xyz
'x,y,z'
'-x,-y,-z'
'-x,-y,z'
'x,y,-z'
'x,-y,-z'
'-x,y,z'
'-x,y,-z'
'x,-y,z'
loop_
_atom_site_label
_atom_site_type_symbol
_atom_site_fract_x
_atom_site_fract_y
_atom_site_fract_z
_atom_site_occupancy
Y1 Y 0.000 0.000 0.000 1
Cd1 Cd 0.000 0.000 0.500 1
Ag1 Ag 0.500 0.500 0.264 1
# Calculated formation energy in eV per atom: -0.206

=====

Record 4
# NaCaRe2Au, optimized geometry, DFT PBE
data_NaCaRe2Au
_symmetry_space_group_name_H-M 'P 4/m m m'
_symmetry_Int_Tables_number 123
_symmetry_space_group_name_Hall '-P 4 2'
_cell_length_a 4.738
_cell_length_b 4.738
_cell_length_c 4.675
_cell_angle_alpha 90.00
_cell_angle_beta 90.00
_cell_angle_gamma 90.00
loop_
_atom_site_label
_atom_site_type_symbol
_atom_site_fract_x
_atom_site_fract_y
_atom_site_fract_z
_atom_site_occupancy
Na1 Na 0.000 0.000 0.000 1
Ca1 Ca 0.000 0.000 0.500 1
Re1 Re 0.000 0.500 0.500 1
Au1 Au 0.500 0.500 0.000 1
# Calculated formation energy in eV per atom: 2.503

=====

Record 5
# Tb6TlIn6, optimized geometry, DFT PBE
data_Tb6TlIn6
_symmetry_space_group_name_H-M 'P 6/m m m'
_symmetry_Int_Tables_number 191
_symmetry_space_group_name_Hall '-P 6 2'
_cell_length_a 6.3751
_cell_length_b 6.3751
_cell_length_c 10.5655
_cell_angle_alpha 90.00
_cell_angle_beta 90.00
_cell_angle_gamma 120.00
loop_
_atom_site_label
_atom_site_type_symbol
_atom_site_fract_x
_atom_site_fract_y
_atom_site_fract_z
_atom_site_occupancy
Tb1 Tb 0.0000 0.0000 0.1840 1
Tb2 Tb 0.3333 0.6667 0.0000 1
Tb3 Tb 0.3333 0.6667 0.5000 1
Tl1 Tl 0.0000 0.0000 0.5000 1
In1 In 0.0000 0.5000 0.2496 1
# Calculated formation energy in eV per atom: -0.308

=====

Record 6
# PrDyTmMg, optimized geometry, DFT PBE
data_PrDyTmMg
_symmetry_space_group_name_H-M 'P 4 m m'
_symmetry_Int_Tables_number 99
_cell_length_a 3.599
_cell_length_b 3.599
_cell_length_c 9.392
_cell_angle_alpha 90.00
_cell_angle_beta 90.00
_cell_angle_gamma 90.00
loop_
_symmetry_equiv_pos_as_xyz
'x,y,z'
'-y,x,z'
'-x,-y,z'
'y,-x,z'
'-x,y,z'
'y,x,z'
'x,-y,z'
'-y,-x,z'
loop_
_atom_site_label
_atom_site_type_symbol
_atom_site_fract_x
_atom_site_fract_y
_atom_site_fract_z
_atom_site_occupancy
Pr1 Pr 0.000 0.000 0.000 1
Dy1 Dy 0.500 0.500 0.274 1
Tm1 Tm 0.000 0.000 0.529 1
Mg1 Mg 0.500 0.500 0.753 1
# Calculated formation energy in eV per atom: -0.023
# Energy above the most stable polymorph in this dataset in meV per atom: 0

=====

Record 7
# Ti3In2Mo, optimized geometry, DFT PBE
data_Ti3In2Mo
_symmetry_space_group_name_H-M 'C m m m'
_symmetry_Int_Tables_number 65
_symmetry_space_group_name_Hall '-C 2 2'
_cell_length_a 4.677
_cell_length_b 13.943
_cell_length_c 6.625
_cell_angle_alpha 90.00
_cell_angle_beta 90.00
_cell_angle_gamma 90.00
loop_
_atom_site_label
_atom_site_type_symbol
_atom_site_fract_x
_atom_site_fract_y
_atom_site_fract_z
_atom_site_occupancy
Ti1 Ti 0.000 0.000 0.240 1
Ti2 Ti 0.000 0.324 0.222 1
In1 In 0.000 0.165 0.500 1
In2 In 0.000 0.500 0.000 1
In3 In 0.000 0.500 0.500 1
Mo1 Mo 0.000 0.164 0.000 1
# Calculated formation energy in eV per atom: -0.194

=====

Record 8
# Cs3NdHo2Se6, optimized geometry, DFT PBE
data_Cs3NdHo2Se6
_symmetry_space_group_name_H-M 'C 1 2/m 1'
_symmetry_Int_Tables_number 12
_cell_length_a 7.451
_cell_length_b 12.907
_cell_length_c 8.745
_cell_angle_alpha 90.00
_cell_angle_beta 106.51
_cell_angle_gamma 90.00
loop_
_symmetry_equiv_pos_as_xyz
'x,y,z'
'-x,-y,-z'
'-x,y,-z'
'x,-y,z'
'x+1/2,y+1/2,z'
'-x+1/2,-y+1/2,-z'
'-x+1/2,y+1/2,-z'
'x+1/2,-y+1/2,z'
loop_
_atom_site_label
_atom_site_type_symbol
_atom_site_fract_x
_atom_site_fract_y
_atom_site_fract_z
_atom_site_occupancy
Cs1 Cs 0.000 0.000 0.000 1
Cs2 Cs 0.000 0.335 0.000 1
Nd1 Nd 0.000 0.500 0.500 1
Ho1 Ho 0.000 0.167 0.500 1
Se1 Se 0.220 0.000 0.686 1
Se2 Se 0.233 0.329 0.687 1
# Energy relative to the elements, uncorrected in kcal/mol of atoms: -39.7

=====

Record 9
# Y2ErTm6Sc, optimized geometry, DFT PBE
data_Y2ErTm6Sc
_symmetry_space_group_name_H-M 'C 1 2/c 1'
_symmetry_Int_Tables_number 15
_cell_length_a 9.130
_cell_length_b 15.541
_cell_length_c 8.590
_cell_angle_alpha 90.00
_cell_angle_beta 92.18
_cell_angle_gamma 90.00
loop_
_symmetry_equiv_pos_as_xyz
'x,y,z'
'-x,-y,-z'
'-x,y,-z+1/2'
'x,-y,z+1/2'
'x+1/2,y+1/2,z'
'-x+1/2,-y+1/2,-z'
'-x+1/2,y+1/2,-z+1/2'
'x+1/2,-y+1/2,z+1/2'
loop_
_atom_site_label
_atom_site_type_symbol
_atom_site_fract_x
_atom_site_fract_y
_atom_site_fract_z
_atom_site_occupancy
Y1 Y 0.237 0.052 0.445 1
Er1 Er 0.000 0.462 0.250 1
Tm1 Tm 0.045 0.334 0.945 1
Tm2 Tm 0.098 0.135 0.089 1
Tm3 Tm 0.247 0.209 0.703 1
Sc1 Sc 0.000 0.058 0.750 1
# Calculated formation energy in eV per atom: 0.130

=====

Record 10
# LiHg2Au, optimized geometry, DFT PBE
data_LiHg2Au
_symmetry_space_group_name_H-M 'C 1 2/m 1'
_symmetry_Int_Tables_number 12
_cell_length_a 6.132
_cell_length_b 9.699
_cell_length_c 3.250
_cell_angle_alpha 90.00
_cell_angle_beta 120.63
_cell_angle_gamma 90.00
loop_
_symmetry_equiv_pos_as_xyz
'x,y,z'
'-x,-y,-z'
'-x,y,-z'
'x,-y,z'
'x+1/2,y+1/2,z'
'-x+1/2,-y+1/2,-z'
'-x+1/2,y+1/2,-z'
'x+1/2,-y+1/2,z'
loop_
_atom_site_label
_atom_site_type_symbol
_atom_site_fract_x
_atom_site_fract_y
_atom_site_fract_z
_atom_site_occupancy
Li1 Li 0.000 0.000 0.000 1
Hg1 Hg 0.250 0.250 0.500 1
Au1 Au 0.000 0.500 0.000 1
# Calculated formation energy in eV per atom: -0.151

=====

Record 11
# BaZn4Ru, optimized geometry, DFT PBE
data_BaZn4Ru
_symmetry_space_group_name_H-M 'F -4 3 m'
_symmetry_Int_Tables_number 216
_symmetry_space_group_name_Hall 'F -4 2 3'
_cell_length_a 7.647
_cell_length_b 7.647
_cell_length_c 7.647
_cell_angle_alpha 90.00
_cell_angle_beta 90.00
_cell_angle_gamma 90.00
loop_
_atom_site_label
_atom_site_type_symbol
_atom_site_fract_x
_atom_site_fract_y
_atom_site_fract_z
_atom_site_occupancy
Ba1 Ba 0.000 0.000 0.000 1
Zn1 Zn 0.122 0.122 0.378 1
Ru1 Ru 0.250 0.250 0.750 1
# Calculated formation energy in eV per atom: 0.179

=====

Record 12
# Zr2TlCo, optimized geometry, DFT PBE
data_Zr2TlCo
_symmetry_space_group_name_H-M 'A m m 2'
_symmetry_Int_Tables_number 38
_cell_length_a 4.213
_cell_length_b 3.456
_cell_length_c 11.189
_cell_angle_alpha 90.00
_cell_angle_beta 90.00
_cell_angle_gamma 90.00
loop_
_symmetry_equiv_pos_as_xyz
'x,y,z'
'-x,-y,z'
'-x,y,z'
'x,-y,z'
'x,y+1/2,z+1/2'
'-x,-y+1/2,z+1/2'
'-x,y+1/2,z+1/2'
'x,-y+1/2,z+1/2'
loop_
_atom_site_label
_atom_site_type_symbol
_atom_site_fract_x
_atom_site_fract_y
_atom_site_fract_z
_atom_site_occupancy
Zr1 Zr 0.000 0.000 0.000 1
Zr2 Zr 0.500 0.000 0.330 1
Tl1 Tl 0.000 0.000 0.720 1
Co1 Co 0.500 0.000 0.550 1
# Calculated formation energy in eV per atom: -0.040

=====

| no. | total DFT energy (no corrections) (eV per cell) | N(E_F) (states/eV/cell) |
| --- | --- | --- |
| 1 | -15.60 | 4.59 |
| 2 | -44.66 | 5.78 |
| 3 | -13.90 | 2.28 |
| 4 | -18.98 | 5.87 |
| 5 | -50.58 | 13.05 |
| 6 | -15.54 | 4.96 |
| 7 | -164.64 | 10.78 |
| 8 | -116.12 | 0.00 |
| 9 | -197.40 | 50.60 |
| 10 | -12.80 | 1.45 |
| 11 | -60.87 | 22.66 |
| 12 | -53.46 | 5.37 |